Crystalline PmSm12In3 at its relaxed geometry. Source: the Alexandria database, functional PBE.

total DFT energy (no corrections)	-72.67	eV/cell
spin magnetization	0.00	μB per formula unit
ΔH_f (0 K)	-192	meV per atom

Cell lengths 4.950, 4.950, 20.246 Å; angles 90.00, 90.00, 90.00 degrees
Atoms (fractional coordinates):
Pm 0.000 0.000 0.000
Sm 0.000 0.500 0.132
Sm 0.000 0.500 0.377
Sm 0.000 0.500 0.623
Sm 0.000 0.500 0.868
Sm 0.500 0.000 0.132
Sm 0.500 0.000 0.377
Sm 0.500 0.000 0.623
Sm 0.500 0.000 0.868
Sm 0.500 0.500 0.000
Sm 0.500 0.500 0.256
Sm 0.500 0.500 0.500
Sm 0.500 0.500 0.744
In 0.000 0.000 0.257
In 0.000 0.000 0.500
In 0.000 0.000 0.743